# LiAg2WF8 | the Alexandria database | PBE with a Hubbard U | relaxed
# calculated volume	16.47	A^3/atom
# calculated total energy	-4.6050	eV per atom
data_LiAg2WF8
_chemical_formula_sum 'Li1 Ag2 W1 F8'
_space_group_name_H-M_alt 'P -1'
_space_group_IT_number 2
_space_group_name_Hall '-P 1'
_cell_length_a 5.230
_cell_length_b 5.292
_cell_length_c 7.253
_cell_angle_alpha 84.56
_cell_angle_beta 84.83
_cell_angle_gamma 82.95
loop_
_atom_site_label
_atom_site_type_symbol
_atom_site_fract_x
_atom_site_fract_y
_atom_site_fract_z
_atom_site_occupancy
Li1 Li 0.000 0.000 0.000 1
Ag1 Ag 0.456 0.446 0.795 1
W1 W 0.000 0.000 0.500 1
F1 F 0.119 0.166 0.703 1
F2 F 0.157 0.226 0.316 1
F3 F 0.275 0.759 0.985 1
F4 F 0.312 0.751 0.497 1